# 1
# HfBe11Co PBE optimized geometry
data_HfBe11Co
_chemical_formula_sum 'Hf1 Be11 Co1'
_space_group_name_H-M_alt 'P 1'
_space_group_IT_number 1
_cell_length_a 5.752
_cell_length_b 5.752
_cell_length_c 5.666
_cell_angle_alpha 97.64
_cell_angle_beta 97.64
_cell_angle_gamma 136.65
loop_
_space_group_symop_operation_xyz
'x,y,z'
loop_
_atom_site_label
_atom_site_type_symbol
_atom_site_fract_x
_atom_site_fract_y
_atom_site_fract_z
Hf1 Hf 0.000 0.000 0.000
Be1 Be 0.000 0.500 0.000
Be2 Be 0.016 0.662 0.646
Be3 Be 0.276 0.502 0.779
Be4 Be 0.338 0.984 0.354
Be5 Be 0.498 0.724 0.221
Be6 Be 0.500 0.000 0.000
Be7 Be 0.500 0.500 0.500
Be8 Be 0.502 0.276 0.779
Be9 Be 0.662 0.016 0.646
Be10 Be 0.724 0.498 0.221
Be11 Be 0.984 0.338 0.354
Co1 Co 0.000 0.000 0.500
# total DFT energy (no corrections) = -4.660 eV/atom
# formation enthalpy at 0 K = -0.19 eV/atom
# magnetic moment = 0.0 Bohr magnetons per cell


# 2
# Sc4Al2CdPd PBE optimized geometry
data_Sc4Al2CdPd
_chemical_formula_sum 'Sc4 Al2 Cd1 Pd1'
_space_group_name_H-M_alt 'P 1'
_space_group_IT_number 1
_cell_length_a 8.349
_cell_length_b 8.349
_cell_length_c 8.349
_cell_angle_alpha 33.67
_cell_angle_beta 33.67
_cell_angle_gamma 33.67
loop_
_space_group_symop_operation_xyz
'x,y,z'
loop_
_atom_site_label
_atom_site_type_symbol
_atom_site_fract_x
_atom_site_fract_y
_atom_site_fract_z
Sc1 Sc 0.120 0.120 0.120
Sc2 Sc 0.371 0.371 0.371
Sc3 Sc 0.629 0.629 0.629
Sc4 Sc 0.880 0.880 0.880
Al1 Al 0.247 0.247 0.247
Al2 Al 0.753 0.753 0.753
Cd1 Cd 0.500 0.500 0.500
Pd1 Pd 0.000 0.000 0.000
# total DFT energy (no corrections) = -5.368 eV/atom
# formation enthalpy at 0 K = -0.50 eV/atom
# magnetic moment = 0.0 Bohr magnetons per cell